# 1
ZrTlRe2, relaxed, DFT GGA-PBE; formation energy from the elements = 246 kJ/mol of formula units; symmetry = Fm-3m, No. 225; distance to the lowest polymorph of the same formula = 11.26 kcal/mol of atoms
1.0
0.000 3.313 3.313
3.313 0.000 3.313
3.313 3.313 0.000
Tl Re Zr
1 2 1
direct
0.500 0.500 0.500 Tl
0.750 0.750 0.750 Re
0.250 0.250 0.250 Re
0.000 0.000 0.000 Zr

---

# 2
Tl2H2I3, relaxed, DFT GGA-PBE; symmetry = P-1, No. 2; raw total energy = -2.36 eV/atom
1.0
-3.605 -0.992 -2.193
-0.862 -6.301 1.634
0.065 9.867 7.044
H I Tl
2 3 2
direct
0.296 0.396 0.144 H
0.704 0.604 0.856 H
0.420 0.302 0.728 I
0.000 0.000 0.000 I
0.580 0.698 0.272 I
0.113 0.243 0.363 Tl
0.887 0.757 0.637 Tl

---

# 3
YHg2Ir, relaxed, DFT GGA-PBE; formation energy from the elements = -101 kJ/mol of formula units; symmetry = I4/mmm, No. 139; distance to the lowest polymorph of the same formula = 0.00 kcal/mol of atoms
1.0
-4.909 -2.146 0.738
0.186 -4.396 3.145
1.969 5.010 0.513
Ir Hg Y
1 2 1
direct
0.750 0.250 0.500 Ir
0.000 0.000 0.000 Hg
0.500 0.500 0.000 Hg
0.250 0.750 0.500 Y

---

# 4
PmYIr2, relaxed, DFT GGA-PBE; formation energy from the elements = -263 kJ/mol of formula units; symmetry = P4/mmm, No. 123; distance to the lowest polymorph of the same formula = 0.01 kcal/mol of atoms
1.0
-2.502 -2.294 -1.281
3.309 -3.493 -0.207
-1.103 -1.311 4.500
Y Ir Pm
1 2 1
direct
0.500 0.500 0.500 Y
0.000 0.500 0.000 Ir
0.000 0.000 0.500 Ir
0.500 0.000 0.000 Pm

---

# 5
NaAgSbCl5, relaxed, DFT GGA-PBE; symmetry = C2/c, No. 15; E_form (uncorrected) = -0.9004 eV per atom
1.0
7.288 0.120 -0.628
-2.013 7.006 -0.628
-2.890 -3.904 10.662
Cl Sb Ag Na
10 2 2 2
direct
0.671 0.622 0.436 Cl
0.622 0.671 0.936 Cl
0.140 0.860 0.250 Cl
0.974 0.666 0.786 Cl
0.666 0.974 0.286 Cl
0.334 0.026 0.714 Cl
0.378 0.329 0.064 Cl
0.026 0.334 0.214 Cl
0.860 0.140 0.750 Cl
0.329 0.378 0.564 Cl
0.361 0.639 0.250 Sb
0.639 0.361 0.750 Sb
0.691 0.309 0.250 Ag
0.309 0.691 0.750 Ag
0.000 0.000 0.500 Na
0.000 0.000 0.000 Na

---

# 6
Pa2TlCuO8, relaxed, DFT GGA-PBE; symmetry = P-3m1, No. 164; E_form (uncorrected) = -1.9737 eV per atom
1.0
-2.993 -3.889 -1.508
4.750 -0.930 1.709
-2.858 -0.728 7.550
O Cu Tl Pa
8 1 1 2
direct
0.650 0.825 0.124 O
0.825 0.175 0.876 O
0.350 0.175 0.876 O
0.667 0.333 0.364 O
0.825 0.650 0.876 O
0.175 0.350 0.124 O
0.333 0.667 0.636 O
0.175 0.825 0.124 O
0.000 0.000 0.000 Cu
0.000 0.000 0.500 Tl
0.333 0.667 0.869 Pa
0.667 0.333 0.131 Pa

---

# 7
TcPb4, relaxed, DFT GGA-PBE; formation energy from the elements = 211 kJ/mol of formula units; symmetry = Pm-3m, No. 221; distance to the lowest polymorph of the same formula = 0.00 kcal/mol of atoms
1.0
-1.310 2.588 -4.521
-3.850 -3.621 -0.958
-3.509 3.006 2.738
Pb Tc
4 1
direct
0.500 0.500 0.000 Pb
0.500 0.000 0.500 Pb
0.000 0.000 0.000 Pb
0.000 0.500 0.500 Pb
0.500 0.500 0.500 Tc

---

# 8
K2LiPbO, relaxed, DFT GGA-PBE; symmetry = P4/mmm, No. 123; E_form (uncorrected) = 0.3202 eV per atom
1.0
6.869 0.000 0.000
0.000 5.287 0.000
0.000 0.000 6.869
O K Li Pb
1 2 1 1
direct
0.500 0.500 0.500 O
0.000 0.000 0.500 K
0.500 0.000 0.000 K
0.000 0.500 0.000 Li
0.000 0.000 0.000 Pb

---

# 9
Be2FeRu, relaxed, DFT GGA-PBE; formation energy from the elements = -28 kJ/mol of formula units; symmetry = F-43m, No. 216
1.0
-1.617 -1.071 3.406
-3.498 -1.767 0.039
-0.267 -3.797 0.934
Be Fe Ru
2 1 1
direct
0.000 0.000 0.000 Be
0.250 0.250 0.250 Be
0.500 0.500 0.500 Fe
0.750 0.750 0.750 Ru

---

# 10
Ba4Cu2F, relaxed, DFT GGA-PBE; symmetry = I4/mmm, No. 139; E_form (uncorrected) = -0.6905 eV per atom
1.0
5.448 0.000 0.000
0.000 5.448 0.000
-2.724 -2.724 8.282
Ba F Cu
4 1 2
direct
0.806 0.806 0.612 Ba
0.194 0.194 0.388 Ba
0.500 0.000 0.000 Ba
0.000 0.500 0.000 Ba
0.000 0.000 0.000 F
0.616 0.616 0.232 Cu
0.384 0.384 0.768 Cu

---

# 11
Ce2PmHfAs4, relaxed, DFT GGA-PBE; formation energy from the elements = -1029 kJ/mol of formula units; symmetry = P2/m, No. 10
1.0
4.112 0.000 0.000
0.000 7.134 0.133
0.000 -2.484 6.686
Hf Ce As Pm
1 2 4 1
direct
0.000 0.000 0.000 Hf
0.000 0.500 0.500 Ce
0.500 0.000 0.500 Ce
0.500 0.769 0.767 As
0.000 0.238 0.758 As
0.500 0.231 0.233 As
0.000 0.762 0.242 As
0.500 0.500 0.000 Pm

---

# 12
Ta2AlRh, relaxed, DFT GGA-PBE; formation energy from the elements = 92 kJ/mol of formula units; symmetry = I-42d, No. 122
1.0
-3.040 -0.610 2.245
0.085 -3.721 -0.896
4.407 -3.839 8.188
Rh Ta Al
2 4 2
direct
0.750 0.250 0.500 Rh
0.000 0.000 0.000 Rh
0.375 0.382 0.750 Ta
0.132 0.625 0.250 Ta
0.875 0.868 0.750 Ta
0.618 0.125 0.250 Ta
0.250 0.750 0.500 Al
0.500 0.500 0.000 Al

---

# 13
Li2CuSbO4, relaxed, DFT GGA-PBE; symmetry = Pmn2_1, No. 31; E_form (uncorrected) = -1.4086 eV per atom
1.0
-2.810 0.180 -4.418
-0.119 -5.696 -0.156
-5.637 0.019 3.586
O Cu Sb Li
8 2 2 4
direct
0.886 0.839 0.500 O
0.872 0.815 0.000 O
0.372 0.185 0.500 O
0.380 0.673 0.769 O
0.880 0.327 0.269 O
0.880 0.327 0.731 O
0.386 0.161 0.000 O
0.380 0.673 0.231 O
0.481 0.770 0.500 Cu
0.981 0.230 0.000 Cu
0.507 0.842 0.000 Sb
0.007 0.158 0.500 Sb
0.997 0.663 0.250 Li
0.997 0.663 0.750 Li
0.497 0.337 0.250 Li
0.497 0.337 0.750 Li

---

# 14
CeMgI6, relaxed, DFT GGA-PBE; symmetry = C2/m, No. 12; E_form (uncorrected) = -1.0857 eV per atom; distance to the lowest polymorph of the same formula = 0.00 kcal/mol of atoms
1.0
7.747 -0.906 -0.918
-3.211 7.108 -0.918
0.912 1.247 7.162
I Ce Mg
6 1 1
direct
0.999 0.301 0.244 I
0.700 0.700 0.233 I
0.001 0.699 0.756 I
0.301 0.999 0.244 I
0.699 0.001 0.756 I
0.300 0.300 0.767 I
0.000 0.000 0.500 Ce
0.000 0.000 0.000 Mg

---

# 15
YCo2Re, relaxed, DFT GGA-PBE; formation energy from the elements = 221 kJ/mol of formula units; symmetry = R-3m, No. 166; distance to the lowest polymorph of the same formula = 13.94 kcal/mol of atoms
1.0
8.855 0.007 0.004
8.382 2.854 0.004
8.382 1.391 2.492
Co Re Y
2 1 1
direct
0.510 0.510 0.510 Co
0.990 0.990 0.990 Co
0.250 0.250 0.250 Re
0.750 0.750 0.750 Y

---

# 16
Na2PuBiO4, relaxed, DFT GGA-PBE; symmetry = P2/m, No. 10; E_form (uncorrected) = -1.8951 eV per atom
1.0
3.508 0.000 0.000
0.000 6.745 2.666
0.000 -0.294 5.985
O Na Pu Bi
4 2 1 1
direct
0.000 0.659 0.084 O
0.500 0.341 0.324 O
0.000 0.341 0.916 O
0.500 0.659 0.676 O
0.500 0.000 0.500 Na
0.000 0.500 0.500 Na
0.500 0.500 0.000 Pu
0.000 0.000 0.000 Bi

---

# 17
Ac6Pr2Y5, relaxed, DFT GGA-PBE; formation energy from the elements = 213 kJ/mol of formula units; symmetry = Pbam, No. 55
1.0
-3.280 1.313 -1.328
-3.298 -10.760 -2.498
-9.531 -2.069 21.498
Y Pr Ac
10 4 12
direct
0.500 0.000 0.500 Y
0.500 0.590 0.251 Y
0.500 0.910 0.751 Y
0.500 0.090 0.249 Y
0.500 0.333 0.493 Y
0.500 0.167 0.993 Y
0.500 0.500 0.000 Y
0.500 0.833 0.007 Y
0.500 0.410 0.749 Y
0.500 0.667 0.507 Y
0.000 0.660 0.729 Pr
0.000 0.840 0.229 Pr
0.000 0.340 0.271 Pr
0.000 0.160 0.771 Pr
0.000 0.972 0.890 Ac
0.000 0.356 0.886 Ac
0.000 0.528 0.390 Ac
0.000 0.644 0.114 Ac
0.500 0.164 0.632 Ac
0.000 0.472 0.610 Ac
0.500 0.336 0.132 Ac
0.000 0.144 0.386 Ac
0.000 0.856 0.614 Ac
0.000 0.028 0.110 Ac
0.500 0.664 0.868 Ac
0.500 0.836 0.368 Ac

---

# 18
ScOs2Au, relaxed, DFT GGA-PBE; formation energy from the elements = 158 kJ/mol of formula units; symmetry = I-42d, No. 122; distance to the lowest polymorph of the same formula = 11.64 kcal/mol of atoms
1.0
-0.270 1.900 3.413
-3.688 1.003 -0.850
-5.164 -6.652 5.541
Os Sc Au
4 2 2
direct
0.875 0.806 0.750 Os
0.194 0.625 0.250 Os
0.556 0.125 0.250 Os
0.375 0.444 0.750 Os
0.250 0.750 0.500 Sc
0.500 0.500 0.000 Sc
0.750 0.250 0.500 Au
0.000 0.000 0.000 Au

---

# 19
Zn3PCl, relaxed, DFT GGA-PBE; symmetry = Pm-3m, No. 221; E_form (uncorrected) = -0.0110 eV per atom; distance to the lowest polymorph of the same formula = 0.00 kcal/mol of atoms
1.0
-0.280 -1.525 4.587
-4.007 -2.497 -1.075
2.704 -3.858 -1.118
Zn Cl P
3 1 1
direct
0.500 0.000 0.000 Zn
0.000 0.500 0.000 Zn
0.000 0.000 0.500 Zn
0.500 0.500 0.500 Cl
0.000 0.000 0.000 P

---

# 20
Na2H5Ir, relaxed, DFT GGA-PBE; symmetry = Pnma, No. 62; raw total energy = -3.85 eV/atom
1.0
4.975 0.000 0.000
0.000 6.530 0.000
0.000 0.000 10.047
H Ir Na
20 4 8
direct
0.750 0.695 0.084 H
0.523 0.679 0.878 H
0.500 0.500 0.500 H
0.977 0.679 0.878 H
0.000 0.500 0.500 H
0.477 0.821 0.378 H
0.477 0.321 0.122 H
0.500 0.000 0.000 H
0.250 0.537 0.297 H
0.023 0.821 0.378 H
0.523 0.179 0.622 H
0.750 0.463 0.703 H
0.023 0.321 0.122 H
0.750 0.963 0.797 H
0.250 0.805 0.584 H
0.250 0.037 0.203 H
0.750 0.195 0.416 H
0.977 0.179 0.622 H
0.000 0.000 0.000 H
0.250 0.305 0.916 H
0.250 0.668 0.439 Ir
0.750 0.332 0.561 Ir
0.750 0.832 0.939 Ir
0.250 0.168 0.061 Ir
0.750 0.833 0.582 Na
0.250 0.485 0.712 Na
0.750 0.015 0.212 Na
0.250 0.985 0.788 Na
0.750 0.333 0.918 Na
0.250 0.167 0.418 Na
0.250 0.667 0.082 Na
0.750 0.515 0.288 Na

---

| no. | M_tot (Bohr magnetons per cell) |
| --- | --- |
| 1 | 0.00 |
| 2 | 0.00 |
| 3 | 0.00 |
| 4 | 0.00 |
| 5 | 0.00 |
| 6 | 0.00 |
| 7 | 0.97 |
| 8 | 3.00 |
| 9 | 2.24 |
| 10 | 0.00 |
| 11 | 1.35 |
| 12 | 0.00 |
| 13 | 0.00 |
| 14 | 0.00 |
| 15 | 2.34 |
| 16 | 2.34 |
| 17 | 0.00 |
| 18 | 0.00 |
| 19 | 0.00 |
| 20 | 0.00 |